Entry 1:
First-principles (GGA-PBE) data for an optimized crystal structure of CdPICl2, as listed in the Alexandria database.

The value obtained for the energy is -1.80 eV/atom. The energy above the most stable polymorph in this dataset comes out at 0.361 eV/atom. As for the formation energy from raw total energies: 511 meV/atom.

The space group is P4/mmm (No. 123) and the conventional cell measures 5.458, 5.458 and 5.302 Å, with angles of 90.00, 90.00 and 90.00 degrees. The asymmetric unit holds Cd at (0.000, 0.000, 0.000), P at (0.500, 0.500, 0.000), I at (0.500, 0.500, 0.500) and Cl at (0.000, 0.500, 0.500).

***

Entry 2:
First-principles (GGA-PBE) data for an optimized crystal structure of CdPb3I2Cl6, as listed in the Alexandria database.

The value obtained for the energy is -3.15 eV/atom. As for the formation energy from raw total energies: -966 meV/atom.

The space group is C2/m (No. 12) and the conventional cell measures 14.834, 8.327 and 6.818 Å, with angles of 90.00, 95.78 and 90.00 degrees. The asymmetric unit holds Cd at (0.000, 0.000, 0.000), Pb at (0.000, 0.500, 0.500), Pb at (0.250, 0.250, 0.000), I at (0.192, 0.500, 0.323), Cl at (0.069, 0.243, 0.780) and Cl at (0.157, 0.000, 0.205).

***

Entry 3:
First-principles (GGA-PBE) data for an optimized crystal structure of CdPb3I6Cl2, as listed in the Alexandria database.

The value obtained for the energy is -2.80 eV/atom. As for the formation energy from raw total energies: -711 meV/atom.

The space group is C2/m (No. 12) and the conventional cell measures 15.454, 8.947 and 7.120 Å, with angles of 90.00, 97.83 and 90.00 degrees. The asymmetric unit holds Cd at (0.000, 0.000, 0.000), Pb at (0.000, 0.500, 0.500), Pb at (0.250, 0.250, 0.000), I at (0.093, 0.246, 0.258), I at (0.138, 0.000, 0.748) and Cl at (0.163, 0.500, 0.773).

***

Entry 4:
First-principles (GGA-PBE) data for an optimized crystal structure of RbCdI2Cl, as listed in the Alexandria database.

The value obtained for the energy is -2.42 eV/atom. The energy above the most stable polymorph in this dataset comes out at 0.051 eV/atom. As for the formation energy from raw total energies: -1052 meV/atom.

The space group is P4/mmm (No. 123) and the conventional cell measures 6.034, 6.034 and 5.265 Å, with angles of 90.00, 90.00 and 90.00 degrees. The asymmetric unit holds Rb at (0.000, 0.000, 0.000), Cd at (0.500, 0.500, 0.500), I at (0.000, 0.500, 0.500) and Cl at (0.500, 0.500, 0.000).

***

Entry 5:
First-principles (GGA-PBE) data for an optimized crystal structure of RbCdI2Cl, as listed in the Alexandria database.

The value obtained for the energy is -2.47 eV/atom. The energy above the most stable polymorph in this dataset comes out at 0.000 eV/atom. As for the formation energy from raw total energies: -1103 meV/atom.

The space group is P2_1/m (No. 11) and the conventional cell measures 8.750, 4.737 and 11.301 Å, with angles of 90.00, 106.36 and 90.00 degrees. The asymmetric unit holds Rb at (0.175, 0.250, 0.279), Cd at (0.343, 0.250, 0.740), I at (0.319, 0.750, 0.576), I at (0.355, 0.750, 0.105) and Cl at (0.086, 0.250, 0.789).

***

Entry 6:
First-principles (GGA-PBE) data for an optimized crystal structure of Rb2CdICl, as listed in the Alexandria database.

The value obtained for the energy is -2.09 eV/atom. As for the formation energy from raw total energies: -838 meV/atom.

The space group is P4/mmm (No. 123) and the conventional cell measures 6.174, 6.174 and 7.338 Å, with angles of 90.00, 90.00 and 90.00 degrees. The asymmetric unit holds Rb at (0.000, 0.500, 0.000), Cd at (0.000, 0.000, 0.500), I at (0.500, 0.500, 0.500) and Cl at (0.500, 0.500, 0.000).

***

Entry 7:
First-principles (GGA-PBE) data for an optimized crystal structure of Rb2CdI2Cl2, as listed in the Alexandria database.

The value obtained for the energy is -2.74 eV/atom. As for the formation energy from raw total energies: -1362 meV/atom.

The space group is I4/mmm (No. 139) and the conventional cell measures 5.438, 5.438 and 18.045 Å, with angles of 90.00, 90.00 and 90.00 degrees. The asymmetric unit holds Rb at (0.000, 0.000, 0.126), Cd at (0.000, 0.000, 0.500), I at (0.000, 0.000, 0.338) and Cl at (0.000, 0.500, 0.000).

***

Entry 8:
First-principles (GGA-PBE) data for an optimized crystal structure of RbCdICl2, as listed in the Alexandria database.

The value obtained for the energy is -2.68 eV/atom. The energy above the most stable polymorph in this dataset comes out at 0.000 eV/atom. As for the formation energy from raw total energies: -1253 meV/atom.

The space group is Cmcm (No. 63) and the conventional cell measures 4.643, 16.634 and 9.045 Å, with angles of 90.00, 90.00 and 90.00 degrees. The asymmetric unit holds Rb at (0.000, 0.218, 0.250), Cd at (0.000, 0.500, 0.000), I at (0.000, 0.015, 0.750) and Cl at (0.000, 0.352, 0.521).

***

Entry 9:
First-principles (GGA-PBE) data for an optimized crystal structure of RbCdICl2, as listed in the Alexandria database.

The value obtained for the energy is -2.65 eV/atom. The energy above the most stable polymorph in this dataset comes out at 0.024 eV/atom. As for the formation energy from raw total energies: -1229 meV/atom.

The space group is P4/mmm (No. 123) and the conventional cell measures 5.328, 5.328 and 5.959 Å, with angles of 90.00, 90.00 and 90.00 degrees. The asymmetric unit holds Rb at (0.000, 0.000, 0.000), Cd at (0.500, 0.500, 0.500), I at (0.500, 0.500, 0.000) and Cl at (0.000, 0.500, 0.500).

***

Entry 10:
First-principles (GGA-PBE) data for an optimized crystal structure of Rb2CdI6Cl, as listed in the Alexandria database.

The value obtained for the energy is -2.04 eV/atom. As for the formation energy from raw total energies: -644 meV/atom.

The space group is I4/mmm (No. 139) and the conventional cell measures 8.787, 8.787 and 11.829 Å, with angles of 90.00, 90.00 and 90.00 degrees. The asymmetric unit holds Rb at (0.000, 0.500, 0.250), Cd at (0.000, 0.000, 0.000), I at (0.000, 0.000, 0.275), I at (0.229, 0.229, 0.000) and Cl at (0.000, 0.000, 0.500).

***

Entry 11:
First-principles (GGA-PBE) data for an optimized crystal structure of CdS2ICl, as listed in the Alexandria database.

The value obtained for the energy is -2.01 eV/atom. The energy above the most stable polymorph in this dataset comes out at 0.089 eV/atom. As for the formation energy from raw total energies: 505 meV/atom.

The space group is P4/mmm (No. 123) and the conventional cell measures 5.146, 5.146 and 5.405 Å, with angles of 90.00, 90.00 and 90.00 degrees. The asymmetric unit holds Cd at (0.000, 0.000, 0.000), S at (0.000, 0.500, 0.500), I at (0.500, 0.500, 0.500) and Cl at (0.500, 0.500, 0.000).

***

Entry 12:
First-principles (GGA-PBE) data for an optimized crystal structure of CdS2ICl, as listed in the Alexandria database.

The value obtained for the energy is -2.10 eV/atom. The energy above the most stable polymorph in this dataset comes out at 0.000 eV/atom. As for the formation energy from raw total energies: 416 meV/atom.

The space group is P4/mmm (No. 123) and the conventional cell measures 5.137, 5.137 and 4.977 Å, with angles of 90.00, 90.00 and 90.00 degrees. The asymmetric unit holds Cd at (0.000, 0.000, 0.000), S at (0.000, 0.500, 0.000), I at (0.500, 0.500, 0.500) and Cl at (0.000, 0.000, 0.500).

***

Please write out number 3 again, unchanged.
First-principles (GGA-PBE) data for an optimized crystal structure of CdPb3I6Cl2, as listed in the Alexandria database.

The value obtained for the energy is -2.80 eV/atom. As for the formation energy from raw total energies: -711 meV/atom.

The space group is C2/m (No. 12) and the conventional cell measures 15.454, 8.947 and 7.120 Å, with angles of 90.00, 97.83 and 90.00 degrees. The asymmetric unit holds Cd at (0.000, 0.000, 0.000), Pb at (0.000, 0.500, 0.500), Pb at (0.250, 0.250, 0.000), I at (0.093, 0.246, 0.258), I at (0.138, 0.000, 0.748) and Cl at (0.163, 0.500, 0.773).